Entry 1:
# Re2PBr

Crystalline Re2PBr at its relaxed geometry (PBE, Alexandria via LeMat-Bulk).

Cell: 4.280 4.280 8.344 Å, 75.14 75.14 90.00°
Positions (direct):
Re: 0.875 0.814 0.750
P: 0.250 0.750 0.500
Br: 0.000 0.000 0.000
Br: 0.750 0.250 0.500
Re: 0.564 0.125 0.250
Re: 0.186 0.625 0.250
Re: 0.375 0.436 0.750
P: 0.500 0.500 0.000

VASP energy   -28.80 eV/f.u.
Magnetization   0.000 μB per cell
Formation energy from raw total energies   307 kJ/mol of formula units
ΔE to the lowest computed polymorph   498 meV/atom



Entry 2:
# MoPdN

Crystalline MoPdN at its relaxed geometry (PBE, Alexandria via LeMat-Bulk).

Cell: 4.968 6.453 6.206 Å, 90.00 90.00 124.31°
Positions (direct):
N: 0.475 0.323 0.666
Mo: 0.184 0.454 0.127
N: 0.525 0.677 0.334
Pd: 0.188 0.942 0.624
N: 0.975 0.323 0.834
Pd: 0.312 0.058 0.124
Pd: 0.688 0.942 0.876
Mo: 0.684 0.454 0.373
Mo: 0.316 0.546 0.627
Pd: 0.812 0.058 0.376
N: 0.025 0.677 0.166
Mo: 0.816 0.546 0.873

VASP energy   -24.25 eV/f.u.
Magnetization   0.000 μB per cell
Formation energy from raw total energies   9 kJ/mol of formula units